Crystalline CaCd2Si at its relaxed geometry. Source: Alexandria, functional PBEsol.

a b c (Å): 3.5115 4.0347 6.2152
angles (deg): 90.00 90.00 90.00
Fractional positions:
Ca 0.0000 0.0000 0.0000
Cd 0.5000 0.5000 0.2746
Cd 0.5000 0.5000 0.7254
Si 0.0000 0.0000 0.5000

Computed properties:
Symmetry   No. 47
Formation energy without anion corrections   -0.031 eV/atom
Density of states at the Fermi level   1.7 states/eV per cell
Spin magnetization   0.000 μB per atom

=====

Crystalline InSbTe2I at its relaxed geometry. Source: Alexandria, functional PBEsol.

a b c (Å): 5.7034 5.7034 5.9498
angles (deg): 90.00 90.00 90.00
Fractional positions:
In 0.0000 0.0000 0.0000
Sb 0.5000 0.5000 0.5000
Te 0.0000 0.5000 0.5000
Te 0.5000 0.0000 0.5000
I 0.5000 0.5000 0.0000

Computed properties:
Symmetry   No. 123
Formation energy without anion corrections   0.173 eV/atom
Density of states at the Fermi level   3.5 states/eV per cell
Spin magnetization   0.000 μB per atom

=====

Crystalline MnHgW at its relaxed geometry. Source: Alexandria, functional PBEsol.

a b c (Å): 2.9381 2.9381 10.7121
angles (deg): 90.00 90.00 90.00
Fractional positions:
Mn 0.0000 0.0000 0.0000
Mn 0.5000 0.5000 0.5000
Hg 0.0000 0.0000 0.3233
Hg 0.5000 0.5000 0.8233
W 0.0000 0.0000 0.6215
W 0.5000 0.5000 0.1215

Computed properties:
Symmetry   No. 107
Density of states at the Fermi level   7.6 states/eV per cell
Spin magnetization   0.011 μB per atom
E_form   0.479 eV per atom

=====

Crystalline CaSc3Ga at its relaxed geometry. Source: Alexandria, functional PBEsol.

a b c (Å): 5.1892 5.1892 5.1892
angles (deg): 90.00 90.00 90.00
Fractional positions:
Ca 0.0000 0.0000 0.0000
Sc 0.0000 0.5000 0.5000
Sc 0.5000 0.0000 0.5000
Sc 0.5000 0.5000 0.0000
Ga 0.5000 0.5000 0.5000

Computed properties:
Symmetry   No. 221
Density of states at the Fermi level   9.3 states/eV per cell
Spin magnetization   0.001 μB per atom
E_form   0.083 eV per atom

=====

Which value of spin magnetization does entry 3 give? 0.011 μB per atom